Entry from Alexandria via LeMat-Bulk: a relaxed structure of BaTe2Os (PBE).

```
BaTe2Os
1.0
4.740 0.000 0.000
0.000 4.584 0.000
0.000 0.000 12.593
Ba Te Os
2 4 2
Direct
0.000 0.000 0.000
0.000 0.500 0.500
0.000 0.000 0.713
0.000 0.500 0.213
0.500 0.000 0.394
0.500 0.500 0.894
0.500 0.000 0.794
0.500 0.500 0.294
```

Properties
E_tot (eV per atom): -5.172
DOS(E_F) (states/eV/cell): 6.782
Polymorph energy (0 for the lowest one) (meV per atom): 129
Uncorrected formation energy (eV per formula unit): -1.254